A | Density functional theory data (PBE-GGA) for a relaxed structure of DyHgB4.

a = 3.2222 Å, b = 3.2222 Å, c = 7.9058 Å
α = 90.00°, β = 90.00°, γ = 120.00°
With the nearest neighbours (Å) after each atom.
Atoms (fractional coordinates):
Dy (0.0000, 0.0000, 0.0000)  12 B 2.66
Hg (0.0000, 0.0000, 0.5000)  12 B 2.77
B (0.3333, 0.6667, 0.2397)  3 B 1.86
B (0.3333, 0.6667, 0.7603)  3 B 1.86
B (0.6667, 0.3333, 0.2397)  3 B 1.86
B (0.6667, 0.3333, 0.7603)  3 B 1.86

Results
The crystal system is hexagonal. Its spin magnetization is 0.02 μB per cell.

***

B | Density functional theory data (PBE-GGA) for a relaxed structure of DyHgB4.

a = 5.2052 Å, b = 5.2052 Å, c = 5.2052 Å
α = 144.12°, β = 118.71°, γ = 73.10°
With the nearest neighbours (Å) after each atom.
Atoms (fractional coordinates):
Dy (0.0000, 0.0000, 0.0000)  12 B 2.70-2.80
Hg (0.5000, 0.5000, 0.0000)  4 B 2.58
B (0.0506, 0.7328, 0.3179)  3 B 1.78-1.93
B (0.4149, 0.7328, 0.6821)  3 B 1.78-1.93
B (0.5851, 0.2672, 0.3179)  3 B 1.78-1.93
B (0.9494, 0.2672, 0.6821)  3 B 1.78-1.93

Results
The crystal system is orthorhombic. Its spin magnetization is 0.00 μB per cell.

***

The most stable of them is B.

***

A | Density functional theory data (PBE-GGA) for a relaxed structure of DyB4Ir4.

a = 5.3946 Å, b = 5.3946 Å, c = 7.4720 Å
α = 90.00°, β = 90.00°, γ = 90.00°
With the nearest neighbours (Å) after each atom.
Atoms (fractional coordinates):
Dy (0.2500, 0.7500, 0.2500)  12 Ir 2.98-3.20, 12 B 3.08-3.13
Dy (0.7500, 0.2500, 0.7500)  12 Ir 2.98-3.20, 12 B 3.08-3.13
B (0.0776, 0.2500, 0.0963)  1 B 1.86
B (0.2500, 0.0776, 0.5963)  1 B 1.86
B (0.2500, 0.4224, 0.5963)  1 B 1.86
B (0.4224, 0.2500, 0.0963)  1 B 1.86
B (0.5776, 0.7500, 0.9037)  1 B 1.86
B (0.7500, 0.5776, 0.4037)  1 B 1.86
B (0.7500, 0.9224, 0.4037)  1 B 1.86
B (0.9224, 0.7500, 0.9037)  1 B 1.86
Ir (0.0009, 0.7500, 0.6059)  5 B 2.22-2.27
Ir (0.2500, 0.5009, 0.8941)  5 B 2.22-2.27
Ir (0.2500, 0.9991, 0.8941)  5 B 2.22-2.27
Ir (0.4991, 0.7500, 0.6059)  5 B 2.22-2.27
Ir (0.5009, 0.2500, 0.3941)  5 B 2.22-2.27
Ir (0.7500, 0.0009, 0.1059)  5 B 2.22-2.27
Ir (0.7500, 0.4991, 0.1059)  5 B 2.22-2.27
Ir (0.9991, 0.2500, 0.3941)  5 B 2.22-2.27

Results
The crystal system is tetragonal. Its spin magnetization is 0.00 μB per cell.

***

B | Density functional theory data (PBE-GGA) for a relaxed structure of DyB4Ir4.

a = 7.6292 Å, b = 7.6292 Å, c = 3.9901 Å
α = 90.00°, β = 90.00°, γ = 90.00°
With the nearest neighbours (Å) after each atom.
Atoms (fractional coordinates):
Dy (0.2500, 0.2500, 0.2500)  8 B 2.89-3.14, 4 Ir 3.13
Dy (0.7500, 0.7500, 0.7500)  8 B 2.89-3.14, 4 Ir 3.13
B (0.0284, 0.5920, 0.1386)  1 B 1.84
B (0.0920, 0.9716, 0.6386)  1 B 1.84
B (0.4080, 0.5284, 0.6386)  1 B 1.84
B (0.4716, 0.9080, 0.1386)  1 B 1.84
B (0.5284, 0.0920, 0.8614)  1 B 1.84
B (0.5920, 0.4716, 0.3614)  1 B 1.84
B (0.9080, 0.0284, 0.3614)  1 B 1.84
B (0.9716, 0.4080, 0.8614)  1 B 1.84
Ir (0.0900, 0.8595, 0.1371)  4 B 2.09-2.18
Ir (0.1405, 0.5900, 0.6371)  4 B 2.09-2.18
Ir (0.3595, 0.9100, 0.6371)  4 B 2.09-2.18
Ir (0.4100, 0.6405, 0.1371)  4 B 2.09-2.18
Ir (0.5900, 0.3595, 0.8629)  4 B 2.09-2.18
Ir (0.6405, 0.0900, 0.3629)  4 B 2.09-2.18
Ir (0.8595, 0.4100, 0.3629)  4 B 2.09-2.18
Ir (0.9100, 0.1405, 0.8629)  4 B 2.09-2.18

Results
The crystal system is tetragonal. Its spin magnetization is 0.00 μB per cell.

***

The most stable of them is B.

***

A | Density functional theory data (PBE-GGA) for a relaxed structure of DyBIr.

a = 4.2946 Å, b = 4.2946 Å, c = 4.2946 Å
α = 60.00°, β = 60.00°, γ = 60.00°
With the nearest neighbours (Å) after each atom.
Atoms (fractional coordinates):
Dy (0.0000, 0.0000, 0.0000)  4 Ir 2.63
B (0.5000, 0.5000, 0.5000)  4 Ir 2.63
Ir (0.7500, 0.7500, 0.7500)  4 Dy 2.63, 4 B 2.63

Results
The crystal system is cubic. Its spin magnetization is 0.01 μB per cell.

***

B | Density functional theory data (PBE-GGA) for a relaxed structure of DyBIr.

a = 4.1209 Å, b = 4.1209 Å, c = 4.1209 Å
α = 60.00°, β = 60.00°, γ = 60.00°
With the nearest neighbours (Å) after each atom.
Atoms (fractional coordinates):
Dy (0.0000, 0.0000, 0.0000)  4 B 2.52
B (0.2500, 0.2500, 0.2500)  4 Dy 2.52, 4 Ir 2.52
Ir (0.5000, 0.5000, 0.5000)  4 B 2.52

Results
The crystal system is cubic. Its spin magnetization is 0.01 μB per cell.

***

The most stable of them is B.

***

A | Density functional theory data (PBE-GGA) for a relaxed structure of DyB4Ir.

a = 3.2533 Å, b = 3.2533 Å, c = 6.6971 Å
α = 90.00°, β = 90.00°, γ = 120.00°
With the nearest neighbours (Å) after each atom.
Atoms (fractional coordinates):
Dy (0.0000, 0.0000, 0.0000)  12 B 2.66
B (0.3333, 0.6667, 0.2820)  3 B 1.88
B (0.3333, 0.6667, 0.7180)  3 B 1.88
B (0.6667, 0.3333, 0.2820)  3 B 1.88
B (0.6667, 0.3333, 0.7180)  3 B 1.88
Ir (0.0000, 0.0000, 0.5000)  12 B 2.38

Results
The crystal system is hexagonal. Its spin magnetization is 0.00 μB per cell.

***

B | Density functional theory data (PBE-GGA) for a relaxed structure of DyB4Ir.

a = 4.8178 Å, b = 4.8178 Å, c = 4.8178 Å
α = 141.58°, β = 113.40°, γ = 79.60°
With the nearest neighbours (Å) after each atom.
Atoms (fractional coordinates):
Dy (0.0000, 0.0000, 0.0000)  12 B 2.57
B (0.0743, 0.7445, 0.3299)  3 B 1.80
B (0.4146, 0.7445, 0.6701)  3 B 1.80
B (0.5854, 0.2555, 0.3299)  3 B 1.80
B (0.9257, 0.2555, 0.6701)  3 B 1.80
Ir (0.5000, 0.5000, 0.0000)  12 B 2.51-2.63

Results
The crystal system is orthorhombic. Its spin magnetization is 0.00 μB per cell.

***

The most stable of them is A.

***

A | Density functional theory data (PBE-GGA) for a relaxed structure of LaDyB4.

a = 5.2684 Å, b = 5.2684 Å, c = 5.2684 Å
α = 143.46°, β = 114.02°, γ = 77.85°
With the nearest neighbours (Å) after each atom.
Atoms (fractional coordinates):
La (0.0000, 0.0000, 0.0000)  12 B 2.79-2.81
Dy (0.5000, 0.5000, 0.0000)  12 B 2.78-2.82
B (0.0863, 0.7525, 0.3339)  3 B 1.91
B (0.4186, 0.7525, 0.6661)  3 B 1.91
B (0.5814, 0.2475, 0.3339)  3 B 1.91
B (0.9137, 0.2475, 0.6661)  3 B 1.91

Results
The crystal system is orthorhombic. Its spin magnetization is 0.01 μB per cell.

***

B | Density functional theory data (PBE-GGA) for a relaxed structure of LaDyB4.

a = 3.2875 Å, b = 3.2875 Å, c = 8.2221 Å
α = 90.00°, β = 90.00°, γ = 120.00°
With the nearest neighbours (Å) after each atom.
Atoms (fractional coordinates):
La (0.0000, 0.0000, 0.0000)  12 B 2.91
Dy (0.0000, 0.0000, 0.5000)  12 B 2.69
B (0.3333, 0.6667, 0.2679)  3 B 1.90
B (0.3333, 0.6667, 0.7321)  3 B 1.90
B (0.6667, 0.3333, 0.2679)  3 B 1.90
B (0.6667, 0.3333, 0.7321)  3 B 1.90

Results
The crystal system is hexagonal. Its spin magnetization is 0.01 μB per cell.

***

The most stable of them is B.